An optimized crystal structure of AcNd2UN4. Source: the Alexandria database, functional PBE-GGA.

Lattice parameters (Å, degrees): 3.6554 12.7177 12.6554 90.00 90.00 90.00
Space group Cmcm (No. 63)
One atom of each set of equivalent atoms:
Ac 0.0000 0.1682 0.2500
Nd 0.0000 0.3697 0.0145
U 0.0000 0.0988 0.7500
N 0.0000 0.0000 0.0000
N 0.0000 0.2303 0.6264
N 0.0000 0.4990 0.2500

Calculated values
Formation energy without anion corrections, meV/atom: -1026
Crystal system: orthorhombic
E_tot, eV/atom: -8.306